Compound: SmZrTi2O8
Source: Alexandria via LeMat-Bulk
Functional: PBE
Structure: optimized geometry

Values from the calculation:
Raw formation energy, eV per atom: -3.01
Crystal system: tetragonal
Volume, Å³ per atom: 12.04

Cell lengths 6.5807, 6.5807, 6.5807 Å; angles 134.12, 134.12, 66.90 degrees
Positions (direct):
Sm (0.0000, 0.0000, 0.0000)
Zr (0.2500, 0.7500, 0.5000)
Ti (0.5000, 0.5000, 0.0000)
Ti (0.7500, 0.2500, 0.5000)
O (0.0127, 0.0686, 0.4219)
O (0.2527, 0.6692, 0.1046)
O (0.3308, 0.4354, 0.5836)
O (0.4092, 0.9873, 0.0559)
O (0.5646, 0.1482, 0.8954)
O (0.6467, 0.5908, 0.5781)
O (0.8518, 0.7472, 0.4164)
O (0.9314, 0.3533, 0.9441)